[1]
Compound: Cs7TaTe6
Source: Alexandria via LeMat-Bulk
Functional: GGA-PBE
Structure: optimized geometry

```
Cs7TaTe6
1.0
9.159 0.000 3.437
4.091 13.147 3.020
-0.055 0.886 14.068
Cs Ta Te
14 2 12
direct
0.728 0.037 0.963
0.272 0.963 0.037
0.772 0.537 0.463
0.228 0.463 0.537
0.472 0.599 0.163
0.767 0.163 0.599
0.028 0.337 0.901
0.733 0.901 0.337
0.528 0.401 0.837
0.233 0.837 0.401
0.972 0.663 0.099
0.267 0.099 0.663
0.250 0.250 0.250
0.750 0.750 0.750
0.750 0.250 0.250
0.250 0.750 0.750
0.659 0.269 0.089
0.983 0.089 0.269
0.841 0.411 0.231
0.517 0.231 0.411
0.341 0.731 0.911
0.017 0.911 0.731
0.159 0.589 0.769
0.483 0.769 0.589
0.077 0.667 0.333
0.923 0.333 0.667
0.423 0.167 0.833
0.577 0.833 0.167
```

Summary:
The value obtained for the formation energy (no corrections) is -898 meV/atom. The space group is Ibam (72). As for the density: 3.701 Mg/m³. The calculation puts the magnetization at 0.00 μB/atom.

---

[2]
Compound: LaMgCl2
Source: Alexandria via LeMat-Bulk
Functional: GGA-PBE
Structure: optimized geometry

```
LaMgCl2
1.0
-0.342 4.356 -2.592
-3.174 2.216 -3.290
-3.333 3.043 4.199
Cl La Mg
2 1 1
direct
0.972 0.972 0.028
0.528 0.528 0.472
0.250 0.250 0.250
0.750 0.750 0.750
```

Summary:
The value obtained for the formation energy (no corrections) is -1273 meV/atom. The space group is C2/m (12). As for the density: 3.699 Mg/m³. For the excess energy over the best structure of this formula in the dataset, the calculation gives 62.8 meV per atom. The calculation puts the magnetization at 0.06 μB/atom.

---

[3]
Compound: MnIn2Au
Source: Alexandria via LeMat-Bulk
Functional: GGA-PBE
Structure: optimized geometry

```
MnIn2Au
1.0
-2.177 -3.821 2.967
3.404 -1.558 3.758
-1.733 4.791 -1.477
Au In Mn
1 2 1
direct
0.750 0.250 0.500
0.000 0.000 0.000
0.500 0.500 0.000
0.250 0.750 0.500
```

Summary:
The energy of formation from the pure elements is 0.6 eV/f.u. The space group is I4/mmm (139). As for the density: 9.966 Mg/m³. For the excess energy over the best structure of this formula in the dataset, the calculation gives 106.5 meV per atom. The calculation puts the magnetization at 0.96 μB/atom.

---

[4]
Compound: MgScGaS4
Source: Alexandria via LeMat-Bulk
Functional: GGA-PBE
Structure: optimized geometry

```
MgScGaS4
1.0
7.389 0.000 0.000
3.694 6.421 0.108
3.694 2.059 6.083
Mg Sc Ga S
2 2 2 8
direct
0.500 0.000 0.500
0.000 0.000 0.500
0.000 0.000 0.000
0.000 0.500 0.500
0.633 0.617 0.117
0.367 0.383 0.883
0.755 0.754 0.736
0.245 0.764 0.746
0.755 0.236 0.254
0.245 0.246 0.264
0.243 0.751 0.251
0.754 0.751 0.251
0.246 0.249 0.749
0.757 0.249 0.749
```

Summary:
The value obtained for the formation energy (no corrections) is -1309 meV/atom. The space group is Imma (74). As for the density: 3.093 Mg/m³. The calculation puts the magnetization at 0.00 μB/atom.

---

[5]
Compound: HfHRu2
Source: Alexandria via LeMat-Bulk
Functional: GGA-PBE
Structure: optimized geometry

```
HfHRu2
1.0
-2.781 -4.447 1.331
1.364 0.701 5.190
-3.751 0.186 3.782
Ru Hf H
4 2 2
direct
0.456 0.125 0.250
0.294 0.625 0.250
0.375 0.544 0.750
0.875 0.706 0.750
0.000 0.000 0.000
0.750 0.250 0.500
0.500 0.500 0.000
0.250 0.750 0.500
```

Summary:
The space group is I-42d (122). As for the density: 11.665 Mg/m³. For the excess energy over the best structure of this formula in the dataset, the calculation gives 0.0 meV per atom. The calculation puts the magnetization at 0.00 μB/atom.

---

[6]
Compound: NbVFeSn
Source: Alexandria via LeMat-Bulk
Functional: GGA-PBE
Structure: optimized geometry

```
NbVFeSn
1.0
-2.115 3.379 -2.006
-1.737 -0.558 -4.072
-4.428 -0.144 -0.537
Nb V Sn Fe
1 1 1 1
direct
0.250 0.250 0.250
0.000 0.000 0.000
0.750 0.750 0.750
0.500 0.500 0.500
```

Summary:
The energy of formation from the pure elements is 0.1 eV/f.u. The space group is F-43m (216). As for the density: 8.415 Mg/m³. The calculation puts the magnetization at 0.59 μB/atom.